[1]
Below is ScVBi2 after structural relaxation, with properties calculated at the PBE level. Values from VASP.

Computed properties:
**Space group**: Fm-3m
**Total magnetic moment**: 9.9 Bohr magnetons per cell
**ΔE to the lowest computed polymorph**: 0.00 kcal/mol of atoms

The structure in Quantum ESPRESSO input format:
```
&SYSTEM
  ibrav = 0, nat = 16, ntyp = 3
/
ATOMIC_SPECIES
Sc 44.96 Sc.upf
V 50.94 V.upf
Bi 208.98 Bi.upf
CELL_PARAMETERS angstrom
7.2658 0.0000 0.0000
0.0000 7.2658 0.0000
0.0000 0.0000 7.2658
ATOMIC_POSITIONS angstrom
Sc 0.0000 0.0000 0.0000
Sc 0.0000 3.6329 3.6329
Sc 3.6329 0.0000 3.6329
Sc 3.6329 3.6329 0.0000
V 0.0000 0.0000 3.6329
V 0.0000 3.6329 0.0000
V 3.6329 0.0000 0.0000
V 3.6329 3.6329 3.6329
Bi 1.8165 1.8165 1.8165
Bi 1.8165 1.8165 5.4494
Bi 1.8165 5.4494 1.8165
Bi 1.8165 5.4494 5.4494
Bi 5.4494 1.8165 1.8165
Bi 5.4494 1.8165 5.4494
Bi 5.4494 5.4494 1.8165
Bi 5.4494 5.4494 5.4494
```

---

[2]
Below is MgNpHgPb after structural relaxation, with properties calculated at the PBE level. Values from VASP.

Computed properties:
**Space group**: F-43m
**Total magnetic moment**: 18.2 Bohr magnetons per cell
**Final energy**: -72.8 eV/cell

The structure in Quantum ESPRESSO input format:
```
&SYSTEM
  ibrav = 0, nat = 16, ntyp = 4
/
ATOMIC_SPECIES
Mg 24.30 Mg.upf
Np 237.00 Np.upf
Hg 200.59 Hg.upf
Pb 207.20 Pb.upf
CELL_PARAMETERS angstrom
7.4242 0.0000 0.0000
0.0000 7.4242 0.0000
0.0000 0.0000 7.4242
ATOMIC_POSITIONS angstrom
Mg 0.0000 0.0000 0.0000
Mg 0.0000 3.7121 3.7121
Mg 3.7121 0.0000 3.7121
Mg 3.7121 3.7121 0.0000
Np 0.0000 0.0000 3.7121
Np 0.0000 3.7121 0.0000
Np 3.7121 0.0000 0.0000
Np 3.7121 3.7121 3.7121
Hg 1.8561 1.8561 1.8561
Hg 1.8561 5.5682 5.5682
Hg 5.5682 1.8561 5.5682
Hg 5.5682 5.5682 1.8561
Pb 1.8561 1.8561 5.5682
Pb 1.8561 5.5682 1.8561
Pb 5.5682 1.8561 1.8561
Pb 5.5682 5.5682 5.5682
```

---

[3]
Below is VSnSe after structural relaxation, with properties calculated at the PBE level. Values from VASP.

Computed properties:
**Space group**: P3m1
**Total magnetic moment**: 0.0 Bohr magnetons per cell
**Raw formation energy**: -0.2238 eV per atom

The structure in Quantum ESPRESSO input format:
```
&SYSTEM
  ibrav = 0, nat = 3, ntyp = 3
/
ATOMIC_SPECIES
V 50.94 V.upf
Sn 118.71 Sn.upf
Se 78.96 Se.upf
CELL_PARAMETERS angstrom
3.2875 0.0000 0.0000
-1.6438 2.8471 0.0000
0.0000 0.0000 6.4742
ATOMIC_POSITIONS angstrom
V 0.0000 0.0000 0.0000
Sn 0.0000 1.8980 4.3143
Se 1.6438 0.9490 1.5371
```

---

[4]
Below is ThScCdIn after structural relaxation, with properties calculated at the PBE level. Values from VASP.

Computed properties:
**Space group**: F-43m
**Total magnetic moment**: 0.0 Bohr magnetons per cell
**Final energy**: -73.3 eV/cell

The structure in Quantum ESPRESSO input format:
```
&SYSTEM
  ibrav = 0, nat = 16, ntyp = 4
/
ATOMIC_SPECIES
Th 232.04 Th.upf
Sc 44.96 Sc.upf
Cd 112.41 Cd.upf
In 114.82 In.upf
CELL_PARAMETERS angstrom
7.4613 0.0000 0.0000
0.0000 7.4613 0.0000
0.0000 0.0000 7.4613
ATOMIC_POSITIONS angstrom
Th 0.0000 0.0000 0.0000
Th 0.0000 3.7306 3.7306
Th 3.7306 0.0000 3.7306
Th 3.7306 3.7306 0.0000
Sc 0.0000 0.0000 3.7306
Sc 0.0000 3.7306 0.0000
Sc 3.7306 0.0000 0.0000
Sc 3.7306 3.7306 3.7306
Cd 1.8653 1.8653 1.8653
Cd 1.8653 5.5959 5.5959
Cd 5.5959 1.8653 5.5959
Cd 5.5959 5.5959 1.8653
In 1.8653 1.8653 5.5959
In 1.8653 5.5959 1.8653
In 5.5959 1.8653 1.8653
In 5.5959 5.5959 5.5959
```

---

[5]
Below is ZrTlIr2 after structural relaxation, with properties calculated at the PBE level. Values from VASP.

Computed properties:
**Space group**: Pmmm
**Total magnetic moment**: 0.0 Bohr magnetons per cell
**Final energy**: -29.7 eV/cell

The structure in Quantum ESPRESSO input format:
```
&SYSTEM
  ibrav = 0, nat = 4, ntyp = 3
/
ATOMIC_SPECIES
Zr 91.22 Zr.upf
Tl 204.38 Tl.upf
Ir 192.22 Ir.upf
CELL_PARAMETERS angstrom
3.1489 0.0000 0.0000
0.0000 3.7189 0.0000
0.0000 0.0000 6.1938
ATOMIC_POSITIONS angstrom
Zr 0.0000 0.0000 0.0000
Tl 0.0000 0.0000 3.0969
Ir 1.5745 1.8594 1.4854
Ir 1.5745 1.8594 4.7085
```